Crystalline PmHo2Sc at its relaxed geometry. Source: Alexandria via LeMat-Bulk, functional GGA-PBE.

Values from the calculation:
The calculated total energy is -4.8580 eV/atom. The space-group type is Fm-3m, No. 225. For the distance to the lowest polymorph of the same formula, the calculation gives 175 meV per atom.

Lattice parameters (Å, degrees): 5.5639 5.5639 5.5639 60.00 60.00 60.00
Positions (direct):
Sc (0.5000, 0.5000, 0.5000)
Ho (0.2500, 0.2500, 0.2500)
Ho (0.7500, 0.7500, 0.7500)
Pm (0.0000, 0.0000, 0.0000)